[1]
# TiAg2Pb | the Alexandria database | PBE | optimized geometry
# Total DFT energy (no corrections), eV/atom: -4.187
data_TiAg2Pb
_chemical_formula_sum 'Ti1 Ag2 Pb1'
_cell_length_a 3.616
_cell_length_b 3.616
_cell_length_c 6.263
_cell_angle_alpha 90.00
_cell_angle_beta 90.00
_cell_angle_gamma 90.00
_space_group_name_H-M_alt 'P 1'
_space_group_IT_number 1
loop_
_space_group_symop_operation_xyz
'x,y,z'
loop_
_atom_site_label
_atom_site_type_symbol
_atom_site_fract_x
_atom_site_fract_y
_atom_site_fract_z
Pb1 Pb 0.500 0.500 0.500
Ag1 Ag 0.000 0.000 0.778
Ag2 Ag 0.000 0.000 0.222
Ti1 Ti 0.500 0.500 0.000


[2]
# TiAgPb2 | the Alexandria database | PBE | optimized geometry
# Total DFT energy (no corrections), eV/atom: -4.401
# Polymorph energy (0 for the lowest one), meV per atom: 0
data_TiAgPb2
_chemical_formula_sum 'Ti1 Ag1 Pb2'
_cell_length_a 3.298
_cell_length_b 5.229
_cell_length_c 5.229
_cell_angle_alpha 90.00
_cell_angle_beta 90.00
_cell_angle_gamma 90.00
_space_group_name_H-M_alt 'P 1'
_space_group_IT_number 1
loop_
_space_group_symop_operation_xyz
'x,y,z'
loop_
_atom_site_label
_atom_site_type_symbol
_atom_site_fract_x
_atom_site_fract_y
_atom_site_fract_z
Pb1 Pb 0.000 0.000 0.500
Pb2 Pb 0.000 0.500 0.000
Ag1 Ag 0.500 0.500 0.500
Ti1 Ti 0.500 0.000 0.000


[3]
# TiAgPb2 | the Alexandria database | PBE | optimized geometry
# Total DFT energy (no corrections), eV/atom: -4.116
# Polymorph energy (0 for the lowest one), meV per atom: 284
data_TiAgPb2
_chemical_formula_sum 'Ti1 Ag1 Pb2'
_cell_length_a 3.284
_cell_length_b 3.284
_cell_length_c 10.775
_cell_angle_alpha 81.23
_cell_angle_beta 81.23
_cell_angle_gamma 60.00
_space_group_name_H-M_alt 'P 1'
_space_group_IT_number 1
loop_
_space_group_symop_operation_xyz
'x,y,z'
loop_
_atom_site_label
_atom_site_type_symbol
_atom_site_fract_x
_atom_site_fract_y
_atom_site_fract_z
Pb1 Pb 0.090 0.090 0.731
Pb2 Pb 0.910 0.910 0.269
Ag1 Ag 0.500 0.500 0.500
Ti1 Ti 0.000 0.000 0.000


[4]
# TiAgPb2 | the Alexandria database | PBE | optimized geometry
# Total DFT energy (no corrections), eV/atom: -4.313
# Polymorph energy (0 for the lowest one), meV per atom: 88
data_TiAgPb2
_chemical_formula_sum 'Ti1 Ag1 Pb2'
_cell_length_a 3.682
_cell_length_b 3.682
_cell_length_c 6.787
_cell_angle_alpha 90.00
_cell_angle_beta 90.00
_cell_angle_gamma 90.00
_space_group_name_H-M_alt 'P 1'
_space_group_IT_number 1
loop_
_space_group_symop_operation_xyz
'x,y,z'
loop_
_atom_site_label
_atom_site_type_symbol
_atom_site_fract_x
_atom_site_fract_y
_atom_site_fract_z
Pb1 Pb 0.000 0.000 0.755
Pb2 Pb 0.000 0.000 0.245
Ag1 Ag 0.500 0.500 0.500
Ti1 Ti 0.500 0.500 0.000


[5]
# TlAgPb6 | the Alexandria database | PBE | optimized geometry
# Total DFT energy (no corrections), eV/atom: -3.343
data_TlAgPb6
_chemical_formula_sum 'Tl1 Ag1 Pb6'
_cell_length_a 4.856
_cell_length_b 4.856
_cell_length_c 11.219
_cell_angle_alpha 90.00
_cell_angle_beta 90.00
_cell_angle_gamma 90.00
_space_group_name_H-M_alt 'P 1'
_space_group_IT_number 1
loop_
_space_group_symop_operation_xyz
'x,y,z'
loop_
_atom_site_label
_atom_site_type_symbol
_atom_site_fract_x
_atom_site_fract_y
_atom_site_fract_z
Tl1 Tl 0.000 0.000 0.000
Ag1 Ag 0.000 0.000 0.500
Pb1 Pb 0.500 0.000 0.667
Pb2 Pb 0.000 0.500 0.667
Pb3 Pb 0.500 0.500 0.141
Pb4 Pb 0.500 0.500 0.859
Pb5 Pb 0.000 0.500 0.333
Pb6 Pb 0.500 0.000 0.333


[6]
# TlAg2Pb2 | the Alexandria database | PBE | optimized geometry
# Total DFT energy (no corrections), eV/atom: -2.997
# Polymorph energy (0 for the lowest one), meV per atom: 0
data_TlAg2Pb2
_chemical_formula_sum 'Tl2 Ag4 Pb4'
_cell_length_a 8.233
_cell_length_b 8.233
_cell_length_c 3.842
_cell_angle_alpha 90.00
_cell_angle_beta 90.00
_cell_angle_gamma 90.00
_space_group_name_H-M_alt 'P 1'
_space_group_IT_number 1
loop_
_space_group_symop_operation_xyz
'x,y,z'
loop_
_atom_site_label
_atom_site_type_symbol
_atom_site_fract_x
_atom_site_fract_y
_atom_site_fract_z
Pb1 Pb 0.171 0.671 0.500
Pb2 Pb 0.671 0.829 0.500
Pb3 Pb 0.829 0.329 0.500
Pb4 Pb 0.329 0.171 0.500
Tl1 Tl 0.000 0.000 0.000
Tl2 Tl 0.500 0.500 0.000
Ag1 Ag 0.375 0.875 0.000
Ag2 Ag 0.875 0.625 0.000
Ag3 Ag 0.625 0.125 0.000
Ag4 Ag 0.125 0.375 0.000


Going through the records in order, we get size of the total moment values of 1.080 0.012 0.452 1.408 0.000 0.000 μB per formula unit.
Going through the records in order, we get DOS(E_F) values of 2.49 2.81 3.40 3.15 3.03 4.06 states/eV/cell.